# PBE La4CuAu, relaxed
data_La4CuAu
_cell_length_a 7.247
_cell_length_b 7.640
_cell_length_c 7.193
_cell_angle_alpha 90.00
_cell_angle_beta 94.34
_cell_angle_gamma 90.00
_space_group_name_H-M_alt 'P 1'
_space_group_IT_number 1
loop_
_space_group_symop_operation_xyz
'x,y,z'
loop_
_atom_site_label
_atom_site_fract_x
_atom_site_fract_y
_atom_site_fract_z
La1 0.161 0.155 0.379
La2 0.161 0.345 0.879
La3 0.337 0.665 0.325
La4 0.337 0.835 0.825
La5 0.663 0.165 0.175
La6 0.663 0.335 0.675
La7 0.839 0.655 0.121
La8 0.839 0.845 0.621
Cu1 0.500 0.000 0.500
Cu2 0.500 0.500 0.000
Au1 0.000 0.000 0.000
Au2 0.000 0.500 0.500
# **DFT formation energy**: -0.190 eV per atom
# **Symmetry**: P2_1/c, No. 14